Entry 1:
## BeNi3Bi (PBE)

Data for crystalline BeNi3Bi at its relaxed geometry.

Properties
Distance to the lowest polymorph of the same formula in meV/atom: 1299
Energy relative to the elements in eV per atom: 1.484

Structure (CIF):
```
data_BeNi3Bi
_chemical_formula_sum 'Be1 Ni3 Bi1'
_symmetry_space_group_name_H-M 'P m -3 m'
_symmetry_Int_Tables_number 221
_symmetry_space_group_name_Hall '-P 4 2 3'
_cell_length_a 4.726
_cell_length_b 4.726
_cell_length_c 4.726
_cell_angle_alpha 90.00
_cell_angle_beta 90.00
_cell_angle_gamma 90.00
loop_
_atom_site_label
_atom_site_fract_x
_atom_site_fract_y
_atom_site_fract_z
Be1 0.000 0.000 0.000
Ni1 0.000 0.500 0.500
Bi1 0.500 0.500 0.500
```



Entry 2:
## BaNb2SnHg (PBE)

Data for crystalline BaNb2SnHg at its relaxed geometry.

Properties
Energy relative to the elements in eV per atom: 2.117

Structure (CIF):
```
data_BaNb2SnHg
_chemical_formula_sum 'Ba1 Nb2 Sn1 Hg1'
_symmetry_space_group_name_H-M 'P 4/m m m'
_symmetry_Int_Tables_number 123
_symmetry_space_group_name_Hall '-P 4 2'
_cell_length_a 5.247
_cell_length_b 5.247
_cell_length_c 5.907
_cell_angle_alpha 90.00
_cell_angle_beta 90.00
_cell_angle_gamma 90.00
loop_
_atom_site_label
_atom_site_fract_x
_atom_site_fract_y
_atom_site_fract_z
Ba1 0.000 0.000 0.000
Nb1 0.000 0.500 0.000
Sn1 0.500 0.500 0.500
Hg1 0.000 0.000 0.500
```



Entry 3:
## NaLaBrN (PBE)

Data for crystalline NaLaBrN at its relaxed geometry.

Properties
ΔE_f (raw) in eV per atom: -1.263

Structure (CIF):
```
data_NaLaBrN
_chemical_formula_sum 'Na3 La3 Br3 N3'
_symmetry_space_group_name_H-M 'R 3 m'
_symmetry_Int_Tables_number 160
_symmetry_space_group_name_Hall 'R 3 -2"'
_cell_length_a 3.9117
_cell_length_b 3.9117
_cell_length_c 22.4430
_cell_angle_alpha 90.00
_cell_angle_beta 90.00
_cell_angle_gamma 120.00
loop_
_atom_site_label
_atom_site_fract_x
_atom_site_fract_y
_atom_site_fract_z
Na1 0.0000 0.0000 0.0000
La1 0.0000 0.0000 0.5301
Br1 0.0000 0.0000 0.7457
N1 0.0000 0.0000 0.8963
```



Entry 4:
## Y2RhCO (PBE)

Data for crystalline Y2RhCO at its relaxed geometry.

Properties
ΔE_f (raw) in eV per atom: -0.087

Structure (CIF):
```
data_Y2RhCO
_chemical_formula_sum 'Y2 Rh1 C1 O1'
_symmetry_space_group_name_H-M 'P 4/m m m'
_symmetry_Int_Tables_number 123
_symmetry_space_group_name_Hall '-P 4 2'
_cell_length_a 4.858
_cell_length_b 4.858
_cell_length_c 3.575
_cell_angle_alpha 90.00
_cell_angle_beta 90.00
_cell_angle_gamma 90.00
loop_
_atom_site_label
_atom_site_fract_x
_atom_site_fract_y
_atom_site_fract_z
Y1 0.000 0.500 0.000
Rh1 0.000 0.000 0.500
C1 0.500 0.500 0.000
O1 0.500 0.500 0.500
```



Entry 5:
## PaMnPt2 (PBE)

Data for crystalline PaMnPt2 at its relaxed geometry.

Properties
Energy relative to the elements in eV per atom: -0.689

Structure (CIF):
```
data_PaMnPt2
_chemical_formula_sum 'Pa1 Mn1 Pt2'
_symmetry_space_group_name_H-M 'P 4/m m m'
_symmetry_Int_Tables_number 123
_symmetry_space_group_name_Hall '-P 4 2'
_cell_length_a 4.037
_cell_length_b 4.037
_cell_length_c 4.230
_cell_angle_alpha 90.00
_cell_angle_beta 90.00
_cell_angle_gamma 90.00
loop_
_atom_site_label
_atom_site_fract_x
_atom_site_fract_y
_atom_site_fract_z
Pa1 0.000 0.000 0.000
Mn1 0.500 0.500 0.000
Pt1 0.000 0.500 0.500
```



Entry 6:
## LiCuW2 (PBE)

Data for crystalline LiCuW2 at its relaxed geometry.

Properties
Distance to the lowest polymorph of the same formula in meV/atom: 202
Energy relative to the elements in eV per atom: 0.448

Structure (CIF):
```
data_LiCuW2
_chemical_formula_sum 'Li2 Cu2 W4'
_symmetry_space_group_name_H-M 'C 1 2/m 1'
_symmetry_Int_Tables_number 12
_cell_length_a 5.220
_cell_length_b 9.219
_cell_length_c 2.605
_cell_angle_alpha 90.00
_cell_angle_beta 109.81
_cell_angle_gamma 90.00
loop_
_symmetry_equiv_pos_as_xyz
'x,y,z'
'-x,-y,-z'
'-x,y,-z'
'x,-y,z'
'x+1/2,y+1/2,z'
'-x+1/2,-y+1/2,-z'
'-x+1/2,y+1/2,-z'
'x+1/2,-y+1/2,z'
loop_
_atom_site_label
_atom_site_fract_x
_atom_site_fract_y
_atom_site_fract_z
Li1 0.000 0.000 0.000
Cu1 0.000 0.500 0.000
W1 0.250 0.250 0.500
```



Entry 7:
## Nb6NiRu5 (PBE)

Data for crystalline Nb6NiRu5 at its relaxed geometry.

Properties
Energy relative to the elements in eV per atom: -0.203

Structure (CIF):
```
data_Nb6NiRu5
_chemical_formula_sum 'Nb12 Ni2 Ru10'
_symmetry_space_group_name_H-M 'C 1 2/m 1'
_symmetry_Int_Tables_number 12
_cell_length_a 13.749
_cell_length_b 6.140
_cell_length_c 4.595
_cell_angle_alpha 90.00
_cell_angle_beta 100.42
_cell_angle_gamma 90.00
loop_
_symmetry_equiv_pos_as_xyz
'x,y,z'
'-x,-y,-z'
'-x,y,-z'
'x,-y,z'
'x+1/2,y+1/2,z'
'-x+1/2,-y+1/2,-z'
'-x+1/2,y+1/2,-z'
'x+1/2,-y+1/2,z'
loop_
_atom_site_label
_atom_site_fract_x
_atom_site_fract_y
_atom_site_fract_z
Nb1 0.000 0.247 0.000
Nb2 0.160 0.252 0.700
Ni1 0.000 0.000 0.500
Ru1 0.000 0.500 0.500
Ru2 0.170 0.000 0.214
Ru3 0.176 0.500 0.208
```



Entry 8:
## Ho2MnHg (PBE)

Data for crystalline Ho2MnHg at its relaxed geometry.

Properties
Distance to the lowest polymorph of the same formula in meV/atom: 77
Energy relative to the elements in eV per atom: -0.084

Structure (CIF):
```
data_Ho2MnHg
_chemical_formula_sum 'Ho8 Mn4 Hg4'
_symmetry_space_group_name_H-M 'F m -3 m'
_symmetry_Int_Tables_number 225
_symmetry_space_group_name_Hall '-F 4 2 3'
_cell_length_a 7.241
_cell_length_b 7.241
_cell_length_c 7.241
_cell_angle_alpha 90.00
_cell_angle_beta 90.00
_cell_angle_gamma 90.00
loop_
_atom_site_label
_atom_site_fract_x
_atom_site_fract_y
_atom_site_fract_z
Ho1 0.250 0.250 0.250
Mn1 0.000 0.000 0.000
Hg1 0.000 0.000 0.500
```



Entry 9:
## KRbCdTe2 (PBE)

Data for crystalline KRbCdTe2 at its relaxed geometry.

Properties
ΔE_f (raw) in eV per atom: -0.628

Structure (CIF):
```
data_KRbCdTe2
_chemical_formula_sum 'K2 Rb2 Cd2 Te4'
_symmetry_space_group_name_H-M 'P m m a'
_symmetry_Int_Tables_number 51
_cell_length_a 6.135
_cell_length_b 8.758
_cell_length_c 7.664
_cell_angle_alpha 90.00
_cell_angle_beta 90.00
_cell_angle_gamma 90.00
loop_
_symmetry_equiv_pos_as_xyz
'x,y,z'
'-x,-y,-z'
'-x+1/2,-y,z'
'x+1/2,y,-z'
'x+1/2,-y,-z'
'-x+1/2,y,z'
'-x,y,-z'
'x,-y,z'
loop_
_atom_site_label
_atom_site_fract_x
_atom_site_fract_y
_atom_site_fract_z
K1 0.250 0.000 0.090
Rb1 0.250 0.500 0.309
Cd1 0.000 0.000 0.500
Te1 0.250 0.231 0.709
```



Entry 10:
## Na3Ag4Ge4 (PBE)

Data for crystalline Na3Ag4Ge4 at its relaxed geometry.

Properties
Energy relative to the elements in eV per atom: -0.017

Structure (CIF):
```
data_Na3Ag4Ge4
_chemical_formula_sum 'Na6 Ag8 Ge8'
_symmetry_space_group_name_H-M 'I m m m'
_symmetry_Int_Tables_number 71
_symmetry_space_group_name_Hall '-I 2 2'
_cell_length_a 4.674
_cell_length_b 6.777
_cell_length_c 14.997
_cell_angle_alpha 90.00
_cell_angle_beta 90.00
_cell_angle_gamma 90.00
loop_
_atom_site_label
_atom_site_fract_x
_atom_site_fract_y
_atom_site_fract_z
Na1 0.000 0.000 0.000
Na2 0.000 0.500 0.127
Ag1 0.000 0.000 0.213
Ag2 0.000 0.210 0.500
Ge1 0.000 0.309 0.332
```



Entry 11:
## AcCeHoZn (PBE)

Data for crystalline AcCeHoZn at its relaxed geometry.

Properties
Energy relative to the elements in eV per atom: 0.213

Structure (CIF):
```
data_AcCeHoZn
_chemical_formula_sum 'Ac4 Ce4 Ho4 Zn4'
_symmetry_space_group_name_H-M 'F -4 3 m'
_symmetry_Int_Tables_number 216
_symmetry_space_group_name_Hall 'F -4 2 3'
_cell_length_a 7.798
_cell_length_b 7.798
_cell_length_c 7.798
_cell_angle_alpha 90.00
_cell_angle_beta 90.00
_cell_angle_gamma 90.00
loop_
_atom_site_label
_atom_site_fract_x
_atom_site_fract_y
_atom_site_fract_z
Ac1 0.000 0.000 0.000
Ce1 0.250 0.250 0.250
Ho1 0.250 0.250 0.750
Zn1 0.000 0.000 0.500
```



Entry 12:
## Na2PaAs3Pt4 (PBE)

Data for crystalline Na2PaAs3Pt4 at its relaxed geometry.

Properties
Energy relative to the elements in eV per atom: -0.475

Structure (CIF):
```
data_Na2PaAs3Pt4
_chemical_formula_sum 'Na2 Pa1 As3 Pt4'
_symmetry_space_group_name_H-M 'P -4 m 2'
_symmetry_Int_Tables_number 115
_cell_length_a 4.189
_cell_length_b 4.189
_cell_length_c 11.747
_cell_angle_alpha 90.00
_cell_angle_beta 90.00
_cell_angle_gamma 90.00
loop_
_symmetry_equiv_pos_as_xyz
'x,y,z'
'y,-x,-z'
'-x,-y,z'
'-y,x,-z'
'-x,y,z'
'-y,-x,-z'
'x,-y,z'
'y,x,-z'
loop_
_atom_site_label
_atom_site_fract_x
_atom_site_fract_y
_atom_site_fract_z
Na1 0.000 0.500 0.226
Pa1 0.000 0.000 0.500
As1 0.000 0.500 0.875
As2 0.500 0.500 0.500
Pt1 0.000 0.000 0.000
Pt2 0.000 0.500 0.666
Pt3 0.500 0.500 0.000
```



Entry 13:
## ZnCr3Pb (PBE)

Data for crystalline ZnCr3Pb at its relaxed geometry.

Properties
Distance to the lowest polymorph of the same formula in meV/atom: 0
Energy relative to the elements in eV per atom: 1.125

Structure (CIF):
```
data_ZnCr3Pb
_chemical_formula_sum 'Zn1 Cr3 Pb1'
_symmetry_space_group_name_H-M 'P m -3 m'
_symmetry_Int_Tables_number 221
_symmetry_space_group_name_Hall '-P 4 2 3'
_cell_length_a 4.695
_cell_length_b 4.695
_cell_length_c 4.695
_cell_angle_alpha 90.00
_cell_angle_beta 90.00
_cell_angle_gamma 90.00
loop_
_atom_site_label
_atom_site_fract_x
_atom_site_fract_y
_atom_site_fract_z
Zn1 0.000 0.000 0.000
Cr1 0.000 0.000 0.500
Pb1 0.500 0.500 0.500
```



Entry 14:
## NbInCo2As (PBE)

Data for crystalline NbInCo2As at its relaxed geometry.

Properties
Energy relative to the elements in eV per atom: 1.692

Structure (CIF):
```
data_NbInCo2As
_chemical_formula_sum 'Nb1 In1 Co2 As1'
_symmetry_space_group_name_H-M 'P 4/m m m'
_symmetry_Int_Tables_number 123
_symmetry_space_group_name_Hall '-P 4 2'
_cell_length_a 4.528
_cell_length_b 4.528
_cell_length_c 4.998
_cell_angle_alpha 90.00
_cell_angle_beta 90.00
_cell_angle_gamma 90.00
loop_
_atom_site_label
_atom_site_fract_x
_atom_site_fract_y
_atom_site_fract_z
Nb1 0.000 0.000 0.000
In1 0.500 0.500 0.500
Co1 0.000 0.500 0.500
As1 0.500 0.500 0.000
```



Entry 15:
## ScPaNb4 (PBE)

Data for crystalline ScPaNb4 at its relaxed geometry.

Properties
Energy relative to the elements in eV per atom: 0.131

Structure (CIF):
```
data_ScPaNb4
_chemical_formula_sum 'Sc4 Pa4 Nb16'
_symmetry_space_group_name_H-M 'F -4 3 m'
_symmetry_Int_Tables_number 216
_symmetry_space_group_name_Hall 'F -4 2 3'
_cell_length_a 7.944
_cell_length_b 7.944
_cell_length_c 7.944
_cell_angle_alpha 90.00
_cell_angle_beta 90.00
_cell_angle_gamma 90.00
loop_
_atom_site_label
_atom_site_fract_x
_atom_site_fract_y
_atom_site_fract_z
Sc1 0.000 0.000 0.000
Pa1 0.250 0.250 0.750
Nb1 0.125 0.125 0.375
```



Entry 16:
## Rb2Tl5Au3 (PBE)

Data for crystalline Rb2Tl5Au3 at its relaxed geometry.

Properties
Distance to the lowest polymorph of the same formula in meV/atom: 9
Energy relative to the elements in eV per atom: -0.134

Structure (CIF):
```
data_Rb2Tl5Au3
_chemical_formula_sum 'Rb8 Tl20 Au12'
_symmetry_space_group_name_H-M 'C m c 21'
_symmetry_Int_Tables_number 36
_cell_length_a 5.162
_cell_length_b 28.897
_cell_length_c 8.153
_cell_angle_alpha 90.00
_cell_angle_beta 90.00
_cell_angle_gamma 90.00
loop_
_symmetry_equiv_pos_as_xyz
'x,y,z'
'-x,-y,z+1/2'
'-x,y,z'
'x,-y,z+1/2'
'x+1/2,y+1/2,z'
'-x+1/2,-y+1/2,z+1/2'
'-x+1/2,y+1/2,z'
'x+1/2,-y+1/2,z+1/2'
loop_
_atom_site_label
_atom_site_fract_x
_atom_site_fract_y
_atom_site_fract_z
Rb1 0.000 0.023 0.000
Rb2 0.000 0.324 0.040
Tl1 0.000 0.101 0.351
Tl2 0.000 0.204 0.852
Tl3 0.000 0.210 0.249
Tl4 0.000 0.373 0.521
Tl5 0.000 0.447 0.178
Au1 0.000 0.108 0.718
Au2 0.000 0.270 0.559
Au3 0.000 0.448 0.803
```



Entry 17:
## MgZrW (PBE)

Data for crystalline MgZrW at its relaxed geometry.

Properties
Distance to the lowest polymorph of the same formula in meV/atom: 840
Energy relative to the elements in eV per atom: 1.108

Structure (CIF):
```
data_MgZrW
_chemical_formula_sum 'Mg4 Zr4 W4'
_symmetry_space_group_name_H-M 'F -4 3 m'
_symmetry_Int_Tables_number 216
_symmetry_space_group_name_Hall 'F -4 2 3'
_cell_length_a 6.523
_cell_length_b 6.523
_cell_length_c 6.523
_cell_angle_alpha 90.00
_cell_angle_beta 90.00
_cell_angle_gamma 90.00
loop_
_atom_site_label
_atom_site_fract_x
_atom_site_fract_y
_atom_site_fract_z
Mg1 0.000 0.000 0.000
Zr1 0.000 0.000 0.500
W1 0.250 0.250 0.250
```



Entry 18:
## KBaMg2 (PBE)

Data for crystalline KBaMg2 at its relaxed geometry.

Properties
Distance to the lowest polymorph of the same formula in meV/atom: 13
Energy relative to the elements in eV per atom: 0.112

Structure (CIF):
```
data_KBaMg2
_chemical_formula_sum 'K2 Ba2 Mg4'
_symmetry_space_group_name_H-M 'I m m 2'
_symmetry_Int_Tables_number 44
_cell_length_a 4.178
_cell_length_b 6.347
_cell_length_c 12.518
_cell_angle_alpha 90.00
_cell_angle_beta 90.00
_cell_angle_gamma 90.00
loop_
_symmetry_equiv_pos_as_xyz
'x,y,z'
'-x,-y,z'
'-x,y,z'
'x,-y,z'
'x+1/2,y+1/2,z+1/2'
'-x+1/2,-y+1/2,z+1/2'
'-x+1/2,y+1/2,z+1/2'
'x+1/2,-y+1/2,z+1/2'
loop_
_atom_site_label
_atom_site_fract_x
_atom_site_fract_y
_atom_site_fract_z
K1 0.000 0.000 0.000
Ba1 0.000 0.500 0.204
Mg1 0.000 0.000 0.442
Mg2 0.000 0.500 0.762
```